P.
Crystalline Sc4Al2Ga at its relaxed geometry. Source: the Alexandria database, functional GGA-PBE.

Its volume is 451.5 Å³ per cell. As for the magnetic moment: 0.0 μB/cell.

The structure belongs to space group R-3m (No. 166, hexagonal axes); the cell edges are 4.7406, 4.7406 and 23.1966 Å and the angles 90.00°, 90.00° and 120.00°. The distinct sites, in fractional coordinates, are Sc at (0.0000, 0.0000, 0.1197), Sc at (0.0000, 0.0000, 0.3715), Al at (0.0000, 0.0000, 0.2488) and Ga at (0.0000, 0.0000, 0.5000).


Q.
Crystalline Sc4Al2Ga at its relaxed geometry. Source: the Alexandria database, functional GGA-PBE.

Its volume is 347.8 Å³ per cell. As for the magnetic moment: 0.0 μB/cell.

The structure belongs to space group I4/mmm (No. 139); the cell edges are 5.0219, 5.0219 and 13.7915 Å and the angles 90.00°, 90.00° and 90.00°. The distinct sites, in fractional coordinates, are Sc at (0.0000, 0.0000, 0.1885), Sc at (0.0000, 0.5000, 0.0000), Al at (0.0000, 0.0000, 0.3905) and Ga at (0.0000, 0.0000, 0.0000).


Stability, lowest: Q


P.
Crystalline Sc4AlGa2 at its relaxed geometry. Source: the Alexandria database, functional GGA-PBE.

Its volume is 437.4 Å³ per cell. As for the magnetic moment: 0.0 μB/cell.

The structure belongs to space group R-3m (No. 166, hexagonal axes); the cell edges are 4.6960, 4.6960 and 22.9009 Å and the angles 90.00°, 90.00° and 120.00°. The distinct sites, in fractional coordinates, are Sc at (0.0000, 0.0000, 0.1178), Sc at (0.0000, 0.0000, 0.3705), Al at (0.0000, 0.0000, 0.5000) and Ga at (0.0000, 0.0000, 0.2490).


Q.
Crystalline Sc4AlGa2 at its relaxed geometry. Source: the Alexandria database, functional GGA-PBE.

Its volume is 471.6 Å³ per cell. As for the magnetic moment: 0.0 μB/cell.

The structure belongs to space group R-3m (No. 166, hexagonal axes); the cell edges are 4.7111, 4.7111 and 24.5351 Å and the angles 90.00°, 90.00° and 120.00°. The distinct sites, in fractional coordinates, are Sc at (0.0000, 0.0000, 0.1215), Sc at (0.0000, 0.0000, 0.2891), Al at (0.0000, 0.0000, 0.5000) and Ga at (0.0000, 0.0000, 0.3998).


Stability, lowest: Q


P.
Crystalline Sc3AlGa3 at its relaxed geometry. Source: the Alexandria database, functional GGA-PBE.

Its volume is 266.4 Å³ per cell. As for the magnetic moment: 0.0 μB/cell.

The structure belongs to space group P6_3/m (No. 176); the cell edges are 8.0075, 8.0075 and 4.7975 Å and the angles 90.00°, 90.00° and 120.00°. The distinct sites, in fractional coordinates, are Sc at (0.0987, 0.6486, 0.2500), Al at (0.3333, 0.6667, 0.7500) and Ga at (0.0479, 0.8166, 0.7500).


Q.
Crystalline Sc3AlGa3 at its relaxed geometry. Source: the Alexandria database, functional GGA-PBE.

Its volume is 542.8 Å³ per cell. As for the magnetic moment: 0.0 μB/cell.

The structure belongs to space group C2/m (No. 12); the cell edges are 10.3561, 4.1608 and 13.3410 Å and the angles 90.00°, 109.21° and 90.00°. The distinct sites, in fractional coordinates, are Sc at (0.0181, 0.0000, 0.3746), Sc at (0.1057, 0.0000, 0.9240), Sc at (0.2330, 0.0000, 0.2213), Al at (0.2327, 0.5000, 0.3881), Ga at (0.0137, 0.5000, 0.2256), Ga at (0.1160, 0.5000, 0.0742) and Ga at (0.1279, 0.5000, 0.5492).


Stability, lowest: P